# 1
Here is a crystal of BaMg2Ir relaxed with PBEsol from Alexandria. Energies are from SCAN.

The space group is I-4m2 (No. 119) and the conventional cell measures 5.099, 5.099 and 7.194 Å, with angles of 90.00, 90.00 and 90.00 degrees. The inequivalent atoms are Ba at (0.000, 0.000, 0.000), Mg at (0.000, 0.000, 0.500), Mg at (0.000, 0.500, 0.250) and Ir at (0.000, 0.500, 0.750).

The value obtained for the final energy is -29.938 eV per atom. The formation energy comes out at 0.2110 eV/atom.

=====

# 2
Here is a crystal of BaMg2Ir relaxed with PBEsol from Alexandria. Energies are from SCAN.

The space group is P4mm (No. 99) and the conventional cell measures 3.536, 3.536 and 7.807 Å, with angles of 90.00, 90.00 and 90.00 degrees. The inequivalent atoms are Ba at (0.000, 0.000, 0.000), Mg at (0.000, 0.000, 0.404), Mg at (0.500, 0.500, 0.625) and Ir at (0.500, 0.500, 0.276).

The value obtained for the final energy is -30.242 eV per atom. The formation energy comes out at -0.0930 eV/atom.

=====

# 3
Here is a crystal of BaMg2Ir2 relaxed with PBEsol from Alexandria. Energies are from SCAN.

The space group is I4/mmm (No. 139) and the conventional cell measures 4.464, 4.464 and 10.964 Å, with angles of 90.00, 90.00 and 90.00 degrees. The inequivalent atoms are Ba at (0.000, 0.000, 0.000), Mg at (0.000, 0.500, 0.250) and Ir at (0.000, 0.000, 0.389).

The value obtained for the final energy is -38.649 eV per atom. The formation energy comes out at -0.3099 eV/atom.

=====

# 4
Here is a crystal of BaMgIr2 relaxed with PBEsol from Alexandria. Energies are from SCAN.

The space group is P2/m (No. 10) and the conventional cell measures 2.971, 4.398 and 6.558 Å, with angles of 90.00, 100.83 and 90.00 degrees. The inequivalent atoms are Ba at (0.000, 0.000, 0.000), Mg at (0.500, 0.000, 0.500) and Ir at (0.291, 0.500, 0.669).

The value obtained for the final energy is -46.519 eV per atom. The formation energy comes out at 0.1619 eV/atom.

=====

# 5
Here is a crystal of Ba3MgIr2O9 relaxed with PBEsol from Alexandria. Energies are from SCAN.

The space group is P6_3/mmc (No. 194) and the conventional cell measures 5.7462, 5.7462 and 14.1577 Å, with angles of 90.00, 90.00 and 120.00 degrees. The inequivalent atoms are Ba at (0.0000, 0.0000, 0.2500), Ba at (0.3333, 0.6667, 0.0856), Mg at (0.0000, 0.0000, 0.0000), Ir at (0.3333, 0.6667, 0.6596), O at (0.0183, 0.5091, 0.7500) and O at (0.1720, 0.3439, 0.5826).

Its uncorrected formation energy is -2.127 eV/atom. The value obtained for the final energy is -23.587 eV per atom.

=====

# 6
Here is a crystal of Ba3MgIrRuO9 relaxed with PBEsol from Alexandria. Energies are from SCAN.

The space group is P-3m1 (No. 164) and the conventional cell measures 5.7453, 5.7453 and 14.0895 Å, with angles of 90.00, 90.00 and 120.00 degrees. The inequivalent atoms are Ba at (0.0000, 0.0000, 0.2492), Ba at (0.3333, 0.6667, 0.0858), Ba at (0.3333, 0.6667, 0.4130), Mg at (0.0000, 0.0000, 0.0000), Mg at (0.0000, 0.0000, 0.5000), Ir at (0.3333, 0.6667, 0.8391), Ru at (0.3333, 0.6667, 0.6580), O at (0.0201, 0.5101, 0.7485), O at (0.1718, 0.3436, 0.9165) and O at (0.1730, 0.3461, 0.5837).

Its uncorrected formation energy is -2.226 eV/atom. The value obtained for the final energy is -21.268 eV per atom.

=====

# 7
Here is a crystal of Ba2MnIr relaxed with PBEsol from Alexandria. Energies are from SCAN.

The space group is I4/mmm (No. 139) and the conventional cell measures 5.372, 5.372 and 7.586 Å, with angles of 90.00, 90.00 and 90.00 degrees. The inequivalent atoms are Ba at (0.000, 0.500, 0.250), Mn at (0.000, 0.000, 0.000) and Ir at (0.000, 0.000, 0.500).

The value obtained for the final energy is -41.795 eV per atom. The formation energy comes out at 0.3186 eV/atom. The energy above the most stable polymorph in this dataset comes out at 0.238 eV per atom.

=====

# 8
Here is a crystal of Ba2MnIr relaxed with PBEsol from Alexandria. Energies are from SCAN.

The space group is R-3m (No. 166, hexagonal axes) and the conventional cell measures 4.3420, 4.3420 and 25.5815 Å, with angles of 90.00, 90.00 and 120.00 degrees. The inequivalent atoms are Ba at (0.0000, 0.0000, 0.2326), Mn at (0.0000, 0.0000, 0.0000) and Ir at (0.0000, 0.0000, 0.5000).

The value obtained for the final energy is -41.705 eV per atom. The formation energy comes out at 0.4087 eV/atom. The energy above the most stable polymorph in this dataset comes out at 0.328 eV per atom.

=====

# 9
Here is a crystal of Ba2MnIr relaxed with PBEsol from Alexandria. Energies are from SCAN.

The space group is P4mm (No. 99) and the conventional cell measures 3.544, 3.544 and 9.318 Å, with angles of 90.00, 90.00 and 90.00 degrees. The inequivalent atoms are Ba at (0.000, 0.000, 0.000), Ba at (0.500, 0.500, 0.423), Mn at (0.500, 0.500, 0.744) and Ir at (0.000, 0.000, 0.678).

The value obtained for the final energy is -42.033 eV per atom. The formation energy comes out at 0.0804 eV/atom. The energy above the most stable polymorph in this dataset comes out at 0.000 eV per atom.

=====

# 10
Here is a crystal of BaMo2Ir relaxed with PBEsol from Alexandria. Energies are from SCAN.

The space group is Imm2 (No. 44) and the conventional cell measures 3.042, 5.321 and 9.715 Å, with angles of 90.00, 90.00 and 90.00 degrees. The inequivalent atoms are Ba at (0.000, 0.000, 0.000), Mo at (0.000, 0.000, 0.516), Mo at (0.000, 0.500, 0.213) and Ir at (0.000, 0.500, 0.788).

The value obtained for the final energy is -44.127 eV per atom. The formation energy comes out at 0.9778 eV/atom. The energy above the most stable polymorph in this dataset comes out at 0.420 eV per atom.

=====

# 11
Here is a crystal of BaMo2Ir relaxed with PBEsol from Alexandria. Energies are from SCAN.

The space group is Pmm2 (No. 25) and the conventional cell measures 3.069, 3.349 and 7.921 Å, with angles of 90.00, 90.00 and 90.00 degrees. The inequivalent atoms are Ba at (0.000, 0.000, 0.000), Mo at (0.000, 0.000, 0.490), Mo at (0.500, 0.500, 0.656) and Ir at (0.500, 0.500, 0.309).

The value obtained for the final energy is -44.547 eV per atom. The formation energy comes out at 0.5577 eV/atom. The energy above the most stable polymorph in this dataset comes out at 0.000 eV per atom.

=====

no.,volume (Å³/atom)
1,23.38
2,24.40
3,21.84
4,21.04
5,13.49
6,13.43
7,27.36
8,34.81
9,29.26
10,19.66
11,20.36